Material: Y2AlTl
Method: DFT, PBE
State: relaxed

Computed properties:
Space group = P4mm
Volume = 26.62 Å³ per atom
ΔE_f = -125 meV/atom
Mass density = 6.380 g/cm3

Cell lengths 3.5244, 3.5244, 8.5734 Å; angles 90.00, 90.00, 89.99 degrees
Fractional coordinates of all 4 atoms:
Al (0.0000, 0.0000, 0.5159)
Y (0.0000, 0.0000, 0.9811)
Y (0.5000, 0.5000, 0.2834)
Tl (0.5000, 0.5000, 0.7195)